DFT (PBE-GGA) results for crystalline Mg2SbP at its relaxed geometry.

Summary:
ΔE to the lowest computed polymorph   0.155 eV per atom
ΔE_f (raw)   -17 kJ/mol of atoms
DOS(E_F)   1.91 states/eV/cell

Cell: 3.293 3.293 7.745 Å, 90.00 90.00 90.00°
Space group P4/mmm (No. 123)
Inequivalent atoms, fractional coordinates:
Mg 0.000 0.000 0.199 (multiplicity 2)
Sb 0.500 0.500 0.500 (multiplicity 1)
P 0.500 0.500 0.000 (multiplicity 1)